! In5Hg3S12, relaxed, DFT PBE; values from VASP
&SYSTEM
  ibrav = 0, nat = 80, ntyp = 3
/
ATOMIC_SPECIES
S 32.06 S.upf
In 114.82 In.upf
Hg 200.59 Hg.upf
CELL_PARAMETERS angstrom
13.874 0.000 0.000
-4.625 13.080 0.000
-4.625 -6.540 11.328
ATOMIC_POSITIONS crystal
S 0.890 0.058 0.855
S 0.203 0.668 0.058
S 0.355 0.964 0.797
S 0.964 0.355 0.297
S 0.536 0.203 0.145
S 0.355 0.390 0.058
S 0.832 0.890 0.036
S 0.964 0.610 0.168
S 0.797 0.332 0.942
S 0.855 0.297 0.464
S 0.058 0.890 0.355
S 0.332 0.797 0.442
S 0.645 0.036 0.203
S 0.610 0.645 0.442
S 0.890 0.832 0.536
S 0.168 0.058 0.703
S 0.203 0.536 0.645
S 0.703 0.558 0.168
S 0.036 0.390 0.832
S 0.645 0.610 0.942
S 0.558 0.855 0.390
S 0.464 0.668 0.110
S 0.558 0.703 0.668
S 0.668 0.203 0.558
S 0.442 0.297 0.332
S 0.668 0.464 0.610
S 0.110 0.942 0.145
S 0.536 0.332 0.890
S 0.610 0.964 0.668
S 0.390 0.355 0.558
S 0.297 0.442 0.832
S 0.145 0.703 0.536
S 0.110 0.168 0.464
S 0.832 0.942 0.297
S 0.464 0.797 0.855
S 0.797 0.464 0.355
S 0.145 0.442 0.110
S 0.442 0.145 0.610
S 0.390 0.036 0.332
S 0.297 0.855 0.964
S 0.703 0.145 0.036
S 0.036 0.645 0.703
S 0.855 0.558 0.890
S 0.058 0.168 0.203
S 0.332 0.536 0.390
S 0.942 0.110 0.645
S 0.942 0.832 0.797
S 0.168 0.110 0.964
In 0.125 0.750 0.375
In 0.500 0.000 0.000
In 0.500 0.500 0.000
In 0.375 0.125 0.750
In 0.000 0.500 0.000
In 0.250 0.375 0.625
In 0.500 0.500 0.500
In 0.625 0.750 0.875
In 0.500 0.000 0.500
In 0.000 0.500 0.500
In 0.875 0.250 0.625
In 0.000 0.000 0.000
In 0.750 0.125 0.875
In 0.250 0.875 0.125
In 0.750 0.625 0.375
In 0.000 0.000 0.500
In 0.375 0.250 0.125
In 0.625 0.875 0.250
In 0.875 0.625 0.750
In 0.125 0.375 0.250
Hg 0.625 0.375 0.750
Hg 0.125 0.875 0.750
Hg 0.875 0.750 0.125
Hg 0.125 0.250 0.875
Hg 0.375 0.625 0.250
Hg 0.750 0.875 0.625
Hg 0.250 0.625 0.875
Hg 0.625 0.250 0.375
Hg 0.875 0.125 0.250
Hg 0.750 0.375 0.125
Hg 0.375 0.750 0.625
Hg 0.250 0.125 0.375
! Size of the total moment   0.10 Bohr magnetons per cell
! E_form (uncorrected)   -81 meV per atom